Record 1
VASP calculation (GGA-PBE) on an optimized crystal structure of SmU2.

It has space group Fd-3m (No. 227, origin choice 2), with a = 11.9261 Å, b = 11.9261 Å, c = 11.9261 Å, α = 90.00°, β = 90.00° and γ = 90.00°. The inequivalent atoms are Sm at (0.1250, 0.1250, 0.1250) and U at (0.0000, 0.0000, 0.0000).

The calculation puts the density at 4906 kg/m³. Its formation energy is 3.2416 eV per atom. The calculation puts the calculated total energy at -140.63 eV for the cell shown. Its magnetic moment is 24.80 μB per cell.

Record 2
VASP calculation (GGA-PBE) on an optimized crystal structure of SmYU.

It has space group F-43m (No. 216), with a = 7.4400 Å, b = 7.4400 Å, c = 7.4400 Å, α = 90.00°, β = 90.00° and γ = 90.00°. The inequivalent atoms are Sm at (0.0000, 0.0000, 0.0000), Y at (0.0000, 0.0000, 0.5000) and U at (0.2500, 0.2500, 0.2500).

The calculation puts the density at 7698 kg/m³. For the excess energy over the best structure of this formula in the dataset, the calculation gives 0.00 eV per formula unit. Its formation energy is 1.2888 eV per atom. The calculation puts the calculated total energy at -74.43 eV for the cell shown. Its magnetic moment is 17.75 μB per cell.

Record 3
VASP calculation (GGA-PBE) on an optimized crystal structure of SmUZn.

It has space group F-43m (No. 216), with a = 6.8764 Å, b = 6.8764 Å, c = 6.8764 Å, α = 90.00°, β = 90.00° and γ = 90.00°. The inequivalent atoms are Sm at (0.0000, 0.0000, 0.0000), U at (0.2500, 0.2500, 0.2500) and Zn at (0.0000, 0.0000, 0.5000).

The calculation puts the density at 9270 kg/m³. For the excess energy over the best structure of this formula in the dataset, the calculation gives 0.00 eV per formula unit. Its formation energy is 0.9870 eV per atom. The calculation puts the calculated total energy at -57.25 eV for the cell shown. Its magnetic moment is 12.29 μB per cell.

Record 4
VASP calculation (GGA-PBE) on an optimized crystal structure of Sm2W.

It has space group Fd-3m (No. 227, origin choice 2), with a = 11.9147 Å, b = 11.9147 Å, c = 11.9147 Å, α = 90.00°, β = 90.00° and γ = 90.00°. The inequivalent atoms are Sm at (0.0000, 0.0000, 0.0000) and W at (0.1250, 0.1250, 0.1250).

The calculation puts the density at 3806 kg/m³. For the excess energy over the best structure of this formula in the dataset, the calculation gives 1.92 eV per formula unit. Its formation energy is 2.0664 eV per atom. The calculation puts the calculated total energy at -129.46 eV for the cell shown. Its magnetic moment is 0.02 μB per cell.

Record 5
VASP calculation (GGA-PBE) on an optimized crystal structure of SmW2.

It has space group Fd-3m (No. 227, origin choice 2), with a = 7.8991 Å, b = 7.8991 Å, c = 7.8991 Å, α = 90.00°, β = 90.00° and γ = 90.00°. The inequivalent atoms are Sm at (0.1250, 0.1250, 0.1250) and W at (0.0000, 0.0000, 0.5000).

The calculation puts the density at 13962 kg/m³. Its formation energy is 0.2563 eV per atom. The calculation puts the calculated total energy at -238.90 eV for the cell shown. Its magnetic moment is 0.06 μB per cell.

Record 6
VASP calculation (GGA-PBE) on an optimized crystal structure of Sm2W.

It has space group Fd-3m (No. 227, origin choice 2), with a = 8.4189 Å, b = 8.4189 Å, c = 8.4189 Å, α = 90.00°, β = 90.00° and γ = 90.00°. The inequivalent atoms are Sm at (0.0000, 0.0000, 0.0000) and W at (0.1250, 0.1250, 0.6250).

The calculation puts the density at 10788 kg/m³. For the excess energy over the best structure of this formula in the dataset, the calculation gives 0.00 eV per formula unit. Its formation energy is 1.4260 eV per atom. The calculation puts the calculated total energy at -144.83 eV for the cell shown. Its magnetic moment is 0.11 μB per cell.

Record 7
VASP calculation (GGA-PBE) on an optimized crystal structure of SmYW.

It has space group F-43m (No. 216), with a = 6.9446 Å, b = 6.9446 Å, c = 6.9446 Å, α = 90.00°, β = 90.00° and γ = 90.00°. The inequivalent atoms are Sm at (0.0000, 0.0000, 0.0000), Y at (0.0000, 0.0000, 0.5000) and W at (0.2500, 0.2500, 0.2500).

The calculation puts the density at 8391 kg/m³. For the excess energy over the best structure of this formula in the dataset, the calculation gives 0.00 eV per formula unit. Its formation energy is 0.8693 eV per atom. The calculation puts the calculated total energy at -86.11 eV for the cell shown. Its magnetic moment is 0.00 μB per cell.

Record 8
VASP calculation (GGA-PBE) on an optimized crystal structure of Sm2Y.

It has space group Fd-3m (No. 227, origin choice 2), with a = 9.3882 Å, b = 9.3882 Å, c = 9.3882 Å, α = 90.00°, β = 90.00° and γ = 90.00°. The inequivalent atoms are Sm at (0.0000, 0.0000, 0.0000) and Y at (0.1250, 0.1250, 0.6250).

The calculation puts the density at 6255 kg/m³. Its formation energy is 0.2262 eV per atom. The calculation puts the calculated total energy at -121.67 eV for the cell shown. Its magnetic moment is 0.25 μB per cell.

Record 9
VASP calculation (GGA-PBE) on an optimized crystal structure of SmY2.

It has space group Fd-3m (No. 227, origin choice 2), with a = 12.5707 Å, b = 12.5707 Å, c = 12.5707 Å, α = 90.00°, β = 90.00° and γ = 90.00°. The inequivalent atoms are Sm at (0.1250, 0.1250, 0.1250) and Y at (0.0000, 0.0000, 0.0000).

The calculation puts the density at 2195 kg/m³. For the excess energy over the best structure of this formula in the dataset, the calculation gives 6.54 eV per formula unit. Its formation energy is 2.4795 eV per atom. The calculation puts the calculated total energy at -81.62 eV for the cell shown. Its magnetic moment is 0.33 μB per cell.

Record 10
VASP calculation (GGA-PBE) on an optimized crystal structure of SmY2.

It has space group Fd-3m (No. 227, origin choice 2), with a = 9.4093 Å, b = 9.4093 Å, c = 9.4093 Å, α = 90.00°, β = 90.00° and γ = 90.00°. The inequivalent atoms are Sm at (0.1250, 0.1250, 0.1250) and Y at (0.0000, 0.0000, 0.5000).

The calculation puts the density at 5233 kg/m³. For the excess energy over the best structure of this formula in the dataset, the calculation gives 0.00 eV per formula unit. Its formation energy is 0.3009 eV per atom. The calculation puts the calculated total energy at -133.91 eV for the cell shown. Its magnetic moment is 4.65 μB per cell.

Record 11
VASP calculation (GGA-PBE) on an optimized crystal structure of SmYZn4.

It has space group Pmmm (No. 47), with a = 3.5558 Å, b = 4.4839 Å, c = 7.7646 Å, α = 90.00°, β = 90.00° and γ = 90.00°. The inequivalent atoms are Sm at (0.0000, 0.0000, 0.0000), Y at (0.0000, 0.5000, 0.5000), Zn at (0.5000, 0.0000, 0.3356) and Zn at (0.5000, 0.5000, 0.1697).

The calculation puts the density at 6719 kg/m³. Its formation energy is -0.3832 eV per atom. The calculation puts the calculated total energy at -18.53 eV for the cell shown. Its magnetic moment is 0.02 μB per cell.

Record 12
VASP calculation (GGA-PBE) on an optimized crystal structure of Sm2Zn17.

It has space group R-3m (No. 166, hexagonal axes), with a = 8.9870 Å, b = 8.9870 Å, c = 13.1477 Å, α = 90.00°, β = 90.00° and γ = 120.00°. The inequivalent atoms are Sm at (0.0000, 0.0000, 0.1645), Zn at (0.0000, 0.0000, 0.4008), Zn at (0.0000, 0.2956, 0.5000), Zn at (0.0000, 0.5000, 0.0000) and Zn at (0.0083, 0.5042, 0.6530).

The calculation puts the density at 7652 kg/m³. Its formation energy is -0.2555 eV per atom. The calculation puts the calculated total energy at -107.34 eV for the cell shown. Its magnetic moment is 0.05 μB per cell.

Record 13
VASP calculation (GGA-PBE) on an optimized crystal structure of Sm3Zn4.

It has space group P6_3/m (No. 176), with a = 8.8819 Å, b = 8.8819 Å, c = 4.6428 Å, α = 90.00°, β = 90.00° and γ = 120.00°. The inequivalent atoms are Sm at (0.0961, 0.4396, 0.2500), Zn at (0.0351, 0.2006, 0.7500) and Zn at (0.3333, 0.6667, 0.7500).

The calculation puts the density at 7462 kg/m³. For the excess energy over the best structure of this formula in the dataset, the calculation gives 0.00 eV per formula unit. Its formation energy is -0.1865 eV per atom. The calculation puts the calculated total energy at -40.99 eV for the cell shown. Its magnetic moment is 0.50 μB per cell.

Record 14
VASP calculation (GGA-PBE) on an optimized crystal structure of SmZn.

It has space group F-43m (No. 216), with a = 6.5505 Å, b = 6.5505 Å, c = 6.5505 Å, α = 90.00°, β = 90.00° and γ = 90.00°. The inequivalent atoms are Sm at (0.0000, 0.0000, 0.0000) and Zn at (0.2500, 0.2500, 0.7500).

The calculation puts the density at 5099 kg/m³. Its formation energy is 0.5926 eV per atom. The calculation puts the calculated total energy at -19.16 eV for the cell shown. Its magnetic moment is 0.75 μB per cell.

Record 15
VASP calculation (GGA-PBE) on an optimized crystal structure of Sm3Zn22.

It has space group I4_1/amd (No. 141, origin choice 2), with a = 8.8134 Å, b = 8.8134 Å, c = 21.0947 Å, α = 90.00°, β = 90.00° and γ = 90.00°. The inequivalent atoms are Sm at (0.0000, 0.2500, 0.2537), Sm at (0.0000, 0.2500, 0.8750), Zn at (0.0000, 0.0000, 0.0000), Zn at (0.0000, 0.0289, 0.3763), Zn at (0.0000, 0.0970, 0.7377), Zn at (0.0000, 0.1025, 0.1176) and Zn at (0.2311, 0.0086, 0.1890).

The calculation puts the density at 7662 kg/m³. Its formation energy is -0.2730 eV per atom. The calculation puts the calculated total energy at -195.13 eV for the cell shown. Its magnetic moment is 0.05 μB per cell.

Record 16
VASP calculation (GGA-PBE) on an optimized crystal structure of SmZn.

It has space group P2_1/m (No. 11), with a = 6.8375 Å, b = 5.1703 Å, c = 8.2873 Å, α = 90.00°, β = 101.18° and γ = 90.00°. The inequivalent atoms are Sm at (0.1400, 0.2500, 0.0398), Sm at (0.2152, 0.7500, 0.3304), Sm at (0.3493, 0.7500, 0.8806), Zn at (0.0097, 0.2500, 0.3885), Zn at (0.2885, 0.2500, 0.6717) and Zn at (0.4346, 0.2500, 0.3970).

The calculation puts the density at 7480 kg/m³. Its formation energy is -0.1225 eV per atom. The calculation puts the calculated total energy at -37.32 eV for the cell shown. Its magnetic moment is 0.02 μB per cell.

Record 17
VASP calculation (GGA-PBE) on an optimized crystal structure of Sm3Zn4.

It has space group P6_3/m (No. 176), with a = 8.5236 Å, b = 8.5236 Å, c = 5.1460 Å, α = 90.00°, β = 90.00° and γ = 120.00°. The inequivalent atoms are Sm at (0.0853, 0.7967, 0.2500), Zn at (0.1230, 0.6201, 0.7500) and Zn at (0.3333, 0.6667, 0.2500).

The calculation puts the density at 7311 kg/m³. For the excess energy over the best structure of this formula in the dataset, the calculation gives 0.78 eV per formula unit. Its formation energy is -0.0749 eV per atom. The calculation puts the calculated total energy at -39.43 eV for the cell shown. Its magnetic moment is 0.01 μB per cell.

Record 18
VASP calculation (GGA-PBE) on an optimized crystal structure of SmZn.

It has space group Pm-3m (No. 221), with a = 3.6310 Å, b = 3.6310 Å, c = 3.6310 Å, α = 90.00°, β = 90.00° and γ = 90.00°. The inequivalent atoms are Sm at (0.0000, 0.0000, 0.0000) and Zn at (0.5000, 0.5000, 0.5000).

The calculation puts the density at 7485 kg/m³. Its formation energy is -0.3299 eV per atom. The calculation puts the calculated total energy at -6.64 eV for the cell shown. Its magnetic moment is 0.03 μB per cell.

Record 19
VASP calculation (GGA-PBE) on an optimized crystal structure of SmZn.

It has space group P2_1/m (No. 11), with a = 7.0266 Å, b = 4.7208 Å, c = 17.1677 Å, α = 90.00°, β = 90.37° and γ = 90.00°. The inequivalent atoms are Sm at (0.0363, 0.2500, 0.1132), Sm at (0.0363, 0.7500, 0.3867), Sm at (0.3445, 0.7500, 0.0419), Sm at (0.3458, 0.2500, 0.4577), Sm at (0.4402, 0.2500, 0.6667), Sm at (0.4401, 0.7500, 0.8337), Zn at (0.1310, 0.7500, 0.7099), Zn at (0.1326, 0.2500, 0.7902), Zn at (0.2172, 0.2500, 0.9384), Zn at (0.2165, 0.7500, 0.5619), Zn at (0.2431, 0.7500, 0.2115) and Zn at (0.2443, 0.2500, 0.2878).

The calculation puts the density at 7550 kg/m³. Its formation energy is -0.2557 eV per atom. The calculation puts the calculated total energy at -77.85 eV for the cell shown. Its magnetic moment is 0.05 μB per cell.

Record 20
VASP calculation (GGA-PBE) on an optimized crystal structure of SmZn.

It has space group Pmc2_1 (No. 26), with a = 4.8571 Å, b = 9.4850 Å, c = 6.2748 Å, α = 90.00°, β = 90.00° and γ = 90.00°. The inequivalent atoms are Sm at (0.0000, 0.0308, 0.0000), Sm at (0.0000, 0.3503, 0.6710), Sm at (0.5000, 0.2154, 0.2794), Zn at (0.0000, 0.3484, 0.1529), Zn at (0.5000, 0.1364, 0.7510) and Zn at (0.5000, 0.4692, 0.9525).

The calculation puts the density at 7437 kg/m³. Its formation energy is -0.2029 eV per atom. The calculation puts the calculated total energy at -38.29 eV for the cell shown. Its magnetic moment is 0.05 μB per cell.

Record 21
VASP calculation (GGA-PBE) on an optimized crystal structure of SmZn.

It has space group P2_1/m (No. 11), with a = 7.0766 Å, b = 4.8075 Å, c = 8.2457 Å, α = 90.00°, β = 93.05° and γ = 90.00°. The inequivalent atoms are Sm at (0.0027, 0.2500, 0.3856), Sm at (0.2713, 0.7500, 0.2262), Sm at (0.2820, 0.2500, 0.7594), Zn at (0.0371, 0.2500, 0.0454), Zn at (0.4758, 0.7500, 0.5751) and Zn at (0.4903, 0.2500, 0.0958).

The calculation puts the density at 7674 kg/m³. Its formation energy is -0.1576 eV per atom. The calculation puts the calculated total energy at -37.75 eV for the cell shown. Its magnetic moment is 0.02 μB per cell.

Record 22
VASP calculation (GGA-PBE) on an optimized crystal structure of SmZn.

It has space group P-6m2 (No. 187), with a = 3.5410 Å, b = 3.5410 Å, c = 4.7101 Å, α = 90.00°, β = 90.00° and γ = 120.00°. The inequivalent atoms are Sm at (0.0000, 0.0000, 0.0000) and Zn at (0.6667, 0.3333, 0.5000).

The calculation puts the density at 7005 kg/m³. Its formation energy is -0.0462 eV per atom. The calculation puts the calculated total energy at -6.07 eV for the cell shown. Its magnetic moment is 0.04 μB per cell.